1.
Here is a relaxed structure of ZnCoIr2 from Alexandria. Energies are from PBEsol.

abc: 4.5779 4.5779 4.4589
angles: 99.81 99.81 34.24
Closest atoms and distances in Å follow each position.
Positions (direct):
Zn 0.0000 0.0000 0.0000  3 Co 2.57-2.64, 7 Ir 2.57-2.71, 2 Zn 2.70
Co 0.7527 0.7527 0.2344  3 Zn 2.57-2.64, 7 Ir 2.59-2.70, 2 Co 2.70
Ir 0.2435 0.2435 0.7281  4 Co 2.59-2.62, 5 Ir 2.61-2.70, 3 Zn 2.63-2.71
Ir 0.4955 0.4955 0.4895  4 Zn 2.57-2.64, 3 Co 2.60-2.70, 5 Ir 2.61-2.70

D(E_F): 4.1 states/eV/cell
calculated volume: 12.93 A^3/atom
E_form: -0.04 eV/f.u.



2.
Here is a relaxed structure of La2NiTe from Alexandria. Energies are from PBEsol.

abc: 7.9770 7.9770 7.9770
angles: 30.14 30.14 30.14
Closest atoms and distances in Å follow each position.
Positions (direct):
La 0.2369 0.2369 0.2369  3 Ni 2.88
La 0.7631 0.7631 0.7631  3 Ni 2.88
Ni 0.5000 0.5000 0.5000  6 La 2.88
Te 0.0000 0.0000 0.0000  6 La 3.25

D(E_F): 2.0 states/eV/cell
calculated volume: 28.34 A^3/atom
raw formation energy: -0.83 eV/atom



3.
Here is a relaxed structure of TlGaCuPb2 from Alexandria. Energies are from PBEsol.

abc: 5.4954 5.4954 4.5163
angles: 90.00 90.00 90.00
Closest atoms and distances in Å follow each position.
Positions (direct):
Tl 0.0000 0.0000 0.0000  8 Pb 3.56, 4 Cu 3.89
Ga 0.5000 0.5000 0.5000  2 Cu 2.26
Cu 0.5000 0.5000 0.0000  2 Ga 2.26
Pb 0.0000 0.5000 0.5000  2 Ga 2.75
Pb 0.5000 0.0000 0.5000  2 Ga 2.75

D(E_F): 2.3 states/eV/cell
calculated volume: 27.28 A^3/atom
E_form: 1.91 eV/f.u.



4.
Here is a relaxed structure of KSr2Ag2 from Alexandria. Energies are from PBEsol.

abc: 8.7464 8.7464 4.3501
angles: 90.00 90.00 90.00
Closest atoms and distances in Å follow each position.
Positions (direct):
K 0.0000 0.0000 0.0000  4 Ag 3.50
K 0.5000 0.5000 0.0000  4 Ag 3.50
Sr 0.1641 0.3359 0.5000  6 Ag 3.31-3.47
Sr 0.3359 0.8359 0.5000  6 Ag 3.31-3.47
Sr 0.6641 0.1641 0.5000  6 Ag 3.31-3.47
Sr 0.8359 0.6641 0.5000  6 Ag 3.31-3.47
Ag 0.1169 0.6169 0.0000  1 Ag 2.89
Ag 0.3831 0.1169 0.0000  1 Ag 2.89
Ag 0.6169 0.8831 0.0000  1 Ag 2.89
Ag 0.8831 0.3831 0.0000  1 Ag 2.89

D(E_F): 6.3 states/eV/cell
calculated volume: 33.28 A^3/atom
E_form: -0.55 eV/f.u.



5.
Here is a relaxed structure of Rb2SnHgGe from Alexandria. Energies are from PBEsol.

abc: 6.7111 6.7111 5.1991
angles: 90.00 90.00 90.00
Closest atoms and distances in Å follow each position.
Positions (direct):
Rb 0.0000 0.5000 0.0000  2 Ge 3.36
Rb 0.5000 0.0000 0.0000  2 Ge 3.36
Sn 0.0000 0.0000 0.5000  2 Ge 2.60
Hg 0.5000 0.5000 0.5000  8 Rb 4.24, 4 Sn 4.75
Ge 0.0000 0.0000 0.0000  2 Sn 2.60

D(E_F): 2.1 states/eV/cell
calculated volume: 46.83 A^3/atom
E_form: 0.47 eV/f.u.



6.
Here is a relaxed structure of SnSbO4 from Alexandria. Energies are from PBEsol.

abc: 4.8340 4.8340 3.3076
angles: 90.00 90.00 90.26
Closest atoms and distances in Å follow each position.
Positions (direct):
Sn 0.0000 0.0000 0.0000  6 O 2.10-2.11
Sb 0.5000 0.5000 0.5000  6 O 2.11-2.12
O 0.1909 0.8091 0.5000  2 Sn 2.11, 1 Sb 2.12
O 0.3075 0.3075 0.0000  1 Sn 2.10, 2 Sb 2.11
O 0.6925 0.6925 0.0000  1 Sn 2.10, 2 Sb 2.11
O 0.8091 0.1909 0.5000  2 Sn 2.11, 1 Sb 2.12

D(E_F): 1.1 states/eV/cell
calculated volume: 12.88 A^3/atom
raw formation energy: -1.45 eV/atom



7.
Here is a relaxed structure of YBe2AlRh from Alexandria. Energies are from PBEsol.

abc: 4.4461 4.4461 5.1276
angles: 90.00 90.00 90.00
Closest atoms and distances in Å follow each position.
Positions (direct):
Y 0.0000 0.0000 0.0000  4 Be 2.22
Be 0.0000 0.5000 0.0000  2 Y 2.22
Be 0.5000 0.0000 0.0000  2 Y 2.22
Al 0.0000 0.0000 0.5000  2 Y 2.56
Rh 0.5000 0.5000 0.5000  4 Al 3.14, 8 Be 3.39

D(E_F): 3.4 states/eV/cell
calculated volume: 20.27 A^3/atom
E_form: 10.55 eV/f.u.



8.
Here is a relaxed structure of GdCoC from Alexandria. Energies are from PBEsol.

abc: 3.5869 3.5869 6.9686
angles: 90.00 90.00 90.00
Closest atoms and distances in Å follow each position.
Positions (direct):
Gd 0.0000 0.0000 0.2500  4 C 2.50
Gd 0.0000 0.0000 0.7500  4 C 2.50
Co 0.5000 0.5000 0.0000  2 C 1.79
Co 0.5000 0.5000 0.5000  2 C 1.79
C 0.0000 0.5000 0.0000  2 Co 1.79
C 0.5000 0.0000 0.5000  2 Co 1.79

D(E_F): 4.9 states/eV/cell
calculated volume: 14.94 A^3/atom
E_form: -0.91 eV/f.u.



Number 1: spin magnetization 0.234 μB per atom. Number 2: spin magnetization 0.000 μB per atom. Number 3: spin magnetization 0.000 μB per atom. Number 4: spin magnetization 0.000 μB per atom. Number 5: spin magnetization 0.000 μB per atom. Number 6: spin magnetization 0.000 μB per atom. Number 7: spin magnetization 0.151 μB per atom. Number 8: spin magnetization 2.270 μB per atom.